Hf2Be2Co | GGA-PBE | relaxed

Properties
N(E_F) = 4.2 states/eV/f.u.
density = 10.261 g/cm3
magnetization = 0.00 Bohr magnetons per cell
formation energy from the elements = -0.20 eV/atom

a = 6.286 Å, b = 6.286 Å, c = 3.554 Å
α = 90.00°, β = 90.00°, γ = 90.00°
Space group P4/mbm (No. 127)
Symmetry-distinct sites (fractional):
Hf1 0.178 0.322 0.000 x4
Be1 0.121 0.621 0.500 x4
Co1 0.000 0.000 0.500 x2

Hf6BeCo5 | GGA-PBE | relaxed

Properties
N(E_F) = 10.3 states/eV/f.u.
density = 12.127 g/cm3
magnetization = 6.58 Bohr magnetons per cell
formation energy from the elements = -0.33 eV/atom

a = 4.442 Å, b = 13.338 Å, c = 6.353 Å
α = 90.00°, β = 90.00°, γ = 90.00°
Space group Cmmm (No. 65)
Symmetry-distinct sites (fractional):
Hf1 0.000 0.000 0.249 x4
Hf2 0.000 0.333 0.249 x8
Be1 0.000 0.500 0.500 x2
Co1 0.000 0.162 0.500 x4
Co2 0.000 0.168 0.000 x4
Co3 0.000 0.500 0.000 x2

HfBe2Co | GGA-PBE | relaxed

Properties
N(E_F) = 3.0 states/eV/f.u.
density = 7.779 g/cm3
magnetization = 0.00 Bohr magnetons per cell
formation energy from the elements = 0.19 eV/atom

a = 3.852 Å, b = 3.852 Å, c = 14.703 Å
α = 90.00°, β = 90.00°, γ = 90.00°
Space group I4_1/amd (No. 141, origin choice 2)
Symmetry-distinct sites (fractional):
Hf1 0.000 0.250 0.375 x4
Be1 0.000 0.000 0.000 x8
Co1 0.000 0.250 0.875 x4

Hf3BeCo | GGA-PBE | relaxed

Properties
N(E_F) = 5.2 states/eV/f.u.
density = 11.679 g/cm3
magnetization = 0.00 Bohr magnetons per cell
formation energy from the elements = -0.15 eV/atom

a = 8.856 Å, b = 5.544 Å, c = 7.812 Å
α = 90.00°, β = 116.53°, γ = 90.00°
Space group C2/m (No. 12)
Symmetry-distinct sites (fractional):
Hf1 0.007 0.000 0.261 x4
Hf2 0.196 0.500 0.861 x4
Hf3 0.198 0.500 0.335 x4
Be1 0.000 0.311 0.500 x4
Co1 0.000 0.271 0.000 x4

Hf2BeCo2 | GGA-PBE | relaxed

Properties
N(E_F) = 4.3 states/eV/f.u.
density = 11.019 g/cm3
magnetization = 0.00 Bohr magnetons per cell
formation energy from the elements = -0.23 eV/atom

a = 6.050 Å, b = 6.050 Å, c = 3.985 Å
α = 90.00°, β = 90.00°, γ = 90.00°
Space group P4/mbm (No. 127)
Symmetry-distinct sites (fractional):
Hf1 0.179 0.321 0.000 x4
Be1 0.000 0.000 0.500 x2
Co1 0.135 0.635 0.500 x4

HfBeCo4 | GGA-PBE | relaxed

Properties
N(E_F) = 6.6 states/eV/f.u.
density = 9.545 g/cm3
magnetization = 15.16 Bohr magnetons per cell
formation energy from the elements = -0.15 eV/atom

a = 6.653 Å, b = 6.653 Å, c = 6.653 Å
α = 90.00°, β = 90.00°, γ = 90.00°
Space group F-43m (No. 216)
Symmetry-distinct sites (fractional):
Hf1 0.000 0.000 0.000 x4
Be1 0.250 0.250 0.750 x4
Co1 0.124 0.124 0.376 x16

Hf3Be2Co3 | GGA-PBE | relaxed

Properties
N(E_F) = 6.6 states/eV/f.u.
density = 10.844 g/cm3
magnetization = 0.00 Bohr magnetons per cell
formation energy from the elements = -0.22 eV/atom

a = 3.276 Å, b = 9.622 Å, c = 14.189 Å
α = 90.00°, β = 90.00°, γ = 90.00°
Space group Cmcm (No. 63)
Symmetry-distinct sites (fractional):
Hf1 0.000 0.038 0.250 x4
Hf2 0.000 0.142 0.048 x8
Be1 0.000 0.203 0.649 x8
Co1 0.000 0.316 0.250 x4
Co2 0.000 0.445 0.095 x8

Hf2Be9Co | GGA-PBE | relaxed

Properties
N(E_F) = 6.0 states/eV/f.u.
density = 6.458 g/cm3
magnetization = 2.69 Bohr magnetons per cell
formation energy from the elements = 0.00 eV/atom

a = 4.5292 Å, b = 4.5292 Å, c = 21.5816 Å
α = 90.00°, β = 90.00°, γ = 120.00°
Space group R-3m (No. 166, hexagonal axes)
Symmetry-distinct sites (fractional):
Hf1 0.0000 0.0000 0.1420 x6
Be1 0.0000 0.0000 0.3343 x6
Be2 0.0000 0.0000 0.5000 x3
Be3 0.0023 0.5012 0.0782 x18
Co1 0.0000 0.0000 0.0000 x3

Hf3BeCo2 | GGA-PBE | relaxed

Properties
N(E_F) = 5.5 states/eV/f.u.
density = 11.492 g/cm3
magnetization = 0.00 Bohr magnetons per cell
formation energy from the elements = -0.30 eV/atom

a = 10.694 Å, b = 3.348 Å, c = 10.691 Å
α = 90.00°, β = 90.00°, γ = 90.00°
Space group Pnma (No. 62)
Symmetry-distinct sites (fractional):
Hf1 0.060 0.250 0.127 x4
Hf2 0.128 0.750 0.563 x4
Hf3 0.204 0.250 0.808 x4
Be1 0.122 0.250 0.373 x4
Co1 0.013 0.750 0.310 x4
Co2 0.195 0.750 0.989 x4

Hf6Be15Co8 | GGA-PBE | relaxed

Properties
N(E_F) = 20.3 states/eV/f.u.
density = 8.552 g/cm3
magnetization = 0.01 Bohr magnetons per cell
formation energy from the elements = -0.34 eV/atom

a = 10.922 Å, b = 10.922 Å, c = 10.922 Å
α = 90.00°, β = 90.00°, γ = 90.00°
Space group Fm-3m (No. 225)
Symmetry-distinct sites (fractional):
Hf1 0.000 0.000 0.211 x24
Be1 0.000 0.000 0.500 x4
Be2 0.000 0.250 0.250 x24
Be3 0.178 0.178 0.178 x32
Co1 0.125 0.125 0.375 x32

HfBe8Co3 | GGA-PBE | relaxed

Properties
N(E_F) = 6.1 states/eV/f.u.
density = 6.317 g/cm3
magnetization = 1.22 Bohr magnetons per cell
formation energy from the elements = -0.25 eV/atom

a = 4.2810 Å, b = 4.2810 Å, c = 7.0785 Å
α = 90.00°, β = 90.00°, γ = 120.00°
Space group P3m1 (No. 156)
Symmetry-distinct sites (fractional):
Hf1 0.0000 0.0000 0.0000 x1
Be1 0.1648 0.3297 0.6725 x3
Be2 0.3333 0.6667 0.4435 x1
Be3 0.3333 0.6667 0.9270 x1
Be4 0.5034 0.0068 0.2136 x3
Co1 0.0000 0.0000 0.3710 x1
Co2 0.6667 0.3333 0.5005 x1
Co3 0.6667 0.3333 0.8744 x1

Hf4BeCo | GGA-PBE | relaxed

Properties
N(E_F) = 5.9 states/eV/f.u.
density = 11.747 g/cm3
magnetization = 0.00 Bohr magnetons per cell
formation energy from the elements = -0.09 eV/atom

a = 7.836 Å, b = 12.321 Å, c = 5.391 Å
α = 90.00°, β = 121.86°, γ = 90.00°
Space group C2/c (No. 15)
Symmetry-distinct sites (fractional):
Hf1 0.130 0.188 0.101 x8
Hf2 0.206 0.432 0.284 x8
Be1 0.000 0.368 0.750 x4
Co1 0.000 0.001 0.250 x4

Hf2Be3Co2 | GGA-PBE | relaxed

Properties
N(E_F) = 3.1 states/eV/f.u.
density = 9.366 g/cm3
magnetization = 0.00 Bohr magnetons per cell
formation energy from the elements = -0.32 eV/atom

a = 8.880 Å, b = 3.601 Å, c = 6.120 Å
α = 90.00°, β = 114.59°, γ = 90.00°
Space group C2/m (No. 12)
Symmetry-distinct sites (fractional):
Hf1 0.146 0.000 0.263 x4
Be1 0.000 0.500 0.500 x2
Be2 0.138 0.500 0.935 x4
Co1 0.133 0.000 0.699 x4

Hf4BeCo3 | GGA-PBE | relaxed

Properties
N(E_F) = 6.3 states/eV/f.u.
density = 11.777 g/cm3
magnetization = 0.00 Bohr magnetons per cell
formation energy from the elements = -0.35 eV/atom

a = 3.279 Å, b = 3.975 Å, c = 9.735 Å
α = 90.00°, β = 90.00°, γ = 90.00°
Space group Pmm2 (No. 25)
Symmetry-distinct sites (fractional):
Hf1 0.000 0.000 0.000 x1
Hf2 0.000 0.500 0.276 x1
Hf3 0.500 0.000 0.493 x1
Hf4 0.500 0.500 0.778 x1
Be1 0.000 0.000 0.707 x1
Co1 0.000 0.500 0.568 x1
Co2 0.500 0.000 0.225 x1
Co3 0.500 0.500 0.050 x1

HfBe2Co | GGA-PBE | relaxed

Properties
N(E_F) = 1.9 states/eV/f.u.
density = 9.068 g/cm3
magnetization = 0.00 Bohr magnetons per cell
formation energy from the elements = -0.16 eV/atom

a = 5.720 Å, b = 5.720 Å, c = 5.720 Å
α = 90.00°, β = 90.00°, γ = 90.00°
Space group Fm-3m (No. 225)
Symmetry-distinct sites (fractional):
Hf1 0.000 0.000 0.000 x4
Be1 0.250 0.250 0.250 x8
Co1 0.000 0.000 0.500 x4

Hf4BeCo | GGA-PBE | relaxed

Properties
N(E_F) = 6.2 states/eV/f.u.
density = 12.265 g/cm3
magnetization = 0.00 Bohr magnetons per cell
formation energy from the elements = -0.16 eV/atom

a = 6.405 Å, b = 6.405 Å, c = 5.160 Å
α = 90.00°, β = 90.00°, γ = 90.00°
Space group I422 (No. 97)
Symmetry-distinct sites (fractional):
Hf1 0.165 0.335 0.250 x8
Be1 0.000 0.000 0.000 x2
Co1 0.000 0.000 0.500 x2

HfBe3Co | GGA-PBE | relaxed

Properties
N(E_F) = 2.4 states/eV/f.u.
density = 7.376 g/cm3
magnetization = 0.00 Bohr magnetons per cell
formation energy from the elements = -0.01 eV/atom

a = 3.905 Å, b = 3.905 Å, c = 3.905 Å
α = 90.00°, β = 90.00°, γ = 90.00°
Space group Pm-3m (No. 221)
Symmetry-distinct sites (fractional):
Hf1 0.000 0.000 0.000 x1
Be1 0.000 0.500 0.500 x3
Co1 0.500 0.500 0.500 x1

HfBe10Co2 | GGA-PBE | relaxed

Properties
N(E_F) = 5.4 states/eV/f.u.
density = 5.108 g/cm3
magnetization = 8.13 Bohr magnetons per cell
formation energy from the elements = -0.14 eV/atom

a = 4.440 Å, b = 10.627 Å, c = 10.653 Å
α = 90.00°, β = 90.00°, γ = 90.00°
Space group Fmmm (No. 69)
Symmetry-distinct sites (fractional):
Hf1 0.000 0.000 0.000 x4
Be1 0.000 0.112 0.391 x16
Be2 0.000 0.175 0.177 x16
Be3 0.250 0.250 0.000 x8
Co1 0.250 0.000 0.250 x8

HfBeCoIr | GGA-PBE | relaxed

Properties
N(E_F) = 1.2 states/eV/f.u.
density = 13.274 g/cm3
magnetization = 0.00 Bohr magnetons per cell
formation energy from the elements = -0.51 eV/atom

a = 6.032 Å, b = 6.032 Å, c = 6.032 Å
α = 90.00°, β = 90.00°, γ = 90.00°
Space group F-43m (No. 216)
Symmetry-distinct sites (fractional):
Hf1 0.000 0.000 0.000 x4
Be1 0.000 0.000 0.500 x4
Co1 0.250 0.250 0.250 x4
Ir1 0.250 0.250 0.750 x4

HfBe2CoIr | GGA-PBE | relaxed

Properties
N(E_F) = 3.3 states/eV/f.u.
density = 10.392 g/cm3
magnetization = 1.20 Bohr magnetons per cell
formation energy from the elements = 0.18 eV/atom

a = 3.945 Å, b = 3.945 Å, c = 4.597 Å
α = 90.00°, β = 90.00°, γ = 90.00°
Space group P4/mmm (No. 123)
Symmetry-distinct sites (fractional):
Hf1 0.000 0.000 0.000 x1
Be1 0.000 0.500 0.500 x2
Co1 0.500 0.500 0.500 x1
Ir1 0.500 0.500 0.000 x1

LiHf2BeCo | GGA-PBE | relaxed

Properties
N(E_F) = 3.5 states/eV/f.u.
density = 8.933 g/cm3
magnetization = 0.00 Bohr magnetons per cell
formation energy from the elements = 0.87 eV/atom

a = 4.651 Å, b = 4.651 Å, c = 3.712 Å
α = 90.00°, β = 90.00°, γ = 90.00°
Space group P4/mmm (No. 123)
Symmetry-distinct sites (fractional):
Li1 0.000 0.000 0.000 x1
Hf1 0.000 0.500 0.000 x2
Be1 0.500 0.500 0.500 x1
Co1 0.000 0.000 0.500 x1

LiHfBeCo2 | GGA-PBE | relaxed

Properties
N(E_F) = 3.1 states/eV/f.u.
density = 8.566 g/cm3
magnetization = 0.00 Bohr magnetons per cell
formation energy from the elements = 0.35 eV/atom

a = 4.018 Å, b = 4.018 Å, c = 3.751 Å
α = 90.00°, β = 90.00°, γ = 90.00°
Space group P4/mmm (No. 123)
Symmetry-distinct sites (fractional):
Li1 0.000 0.000 0.000 x1
Hf1 0.500 0.500 0.500 x1
Be1 0.000 0.000 0.500 x1
Co1 0.000 0.500 0.000 x2